<A>
{
  "formula": "Cd2In3",
  "functional": "PBE",
  "state": "relaxed",
  "crystal_system": "trigonal",
  "lattice": [[4.9462, 0.0000, 0.0000], [-2.4731, 4.2836, 0.0000], [0.0000, 0.0000, 6.5857]],
  "species": ["Cd", "Cd", "In", "In", "In"],
  "frac_coords": [[0.3333, 0.6667, 0.8173], [0.6667, 0.3333, 0.1827], [0.0000, 0.0000, 0.0000], [0.3333, 0.6667, 0.3468], [0.6667, 0.3333, 0.6532]]
}

<B>
{
  "formula": "Cd2In3",
  "functional": "PBE",
  "state": "relaxed",
  "crystal_system": "trigonal",
  "lattice": [[3.3298, 0.0000, 0.0000], [1.6649, 2.8837, 0.0000], [1.6649, 0.9612, 13.2544]],
  "species": ["Cd", "Cd", "In", "In", "In"],
  "frac_coords": [[0.3027, 0.3027, 0.0919], [0.6973, 0.6973, 0.9081], [0.0966, 0.0966, 0.7102], [0.5000, 0.5000, 0.5000], [0.9034, 0.9034, 0.2898]]
}

The most stable arrangement is <B>, and the next structure is 42 meV per atom less stable.

<A>
{
  "formula": "CdIn4Ir",
  "functional": "PBE",
  "state": "relaxed",
  "crystal_system": "tetragonal",
  "lattice": [[-2.8701, -6.1869, -1.4257], [5.8483, -1.9672, -3.2365], [0.4968, 2.0440, 7.1554]],
  "species": ["Cd", "Cd", "In", "In", "In", "In", "In", "In", "In", "In", "Ir", "Ir"],
  "frac_coords": [[0.5000, 0.5000, 0.0000], [0.0000, 0.0000, 0.0000], [0.4863, 0.9863, 0.2829], [0.9863, 0.7966, 0.2829], [0.2966, 0.4863, 0.2829], [0.7034, 0.5137, 0.7171], [0.0137, 0.2034, 0.7171], [0.5137, 0.0137, 0.7171], [0.2034, 0.7034, 0.7171], [0.7966, 0.2966, 0.2829], [0.2500, 0.2500, 0.5000], [0.7500, 0.7500, 0.5000]]
}

<B>
{
  "formula": "CdIn4Ir",
  "functional": "PBE",
  "state": "relaxed",
  "crystal_system": "cubic",
  "lattice": [[-4.9972, -2.7701, 1.3276], [-3.0903, 1.6236, 4.7140], [-5.1411, 2.7447, -0.6661]],
  "species": ["Cd", "In", "In", "In", "In", "Ir"],
  "frac_coords": [[0.0000, 0.0000, 0.0000], [0.8731, 0.3756, 0.3756], [0.3756, 0.3756, 0.8731], [0.3756, 0.8731, 0.3756], [0.3756, 0.3756, 0.3756], [0.7500, 0.7500, 0.7500]]
}

The most stable arrangement is <A>, and the next structure is 673 meV per atom less stable.